1.
BeAgAsPd | the Open Quantum Materials Database | PBE | relaxed; space group = F-43m; energy = -3.917 eV per atom
1.0
0.000 3.126 3.126
3.126 0.000 3.126
3.126 3.126 0.000
Be As Ag Pd
1 1 1 1
Cartesian
4.689 4.689 4.689 Be
0.000 0.000 0.000 As
3.126 3.126 3.126 Ag
1.563 1.563 1.563 Pd

2.
BeAgAsPd | the Open Quantum Materials Database | PBE | relaxed; space group = F-43m; energy = -3.993 eV per atom
1.0
0.059 -2.837 3.344
-3.394 -0.195 2.771
-2.662 -3.485 -0.035
Be As Pd Ag
1 1 1 1
Cartesian
-4.497 -4.888 4.560 Be
-1.499 -1.629 1.520 As
-2.998 -3.259 3.040 Pd
0.000 0.000 0.000 Ag

3.
AgBi2As | the Open Quantum Materials Database | PBE | relaxed; space group = F-43m; energy = -3.605 eV per atom
1.0
-2.708 -1.286 -4.303
-3.646 3.268 -1.878
0.844 2.567 -4.495
Ag Bi As
1 2 1
Cartesian
0.000 0.000 0.000 Ag
-4.133 3.412 -8.006 Bi
-2.755 2.274 -5.338 Bi
-1.378 1.137 -2.669 As

4.
Cs4Ag2BiAs | the Open Quantum Materials Database | PBE | relaxed; space group = Amm2; energy = -2.573 eV per atom
1.0
6.892 0.000 0.000
0.000 5.778 4.191
0.000 -5.778 4.191
Cs Ag Bi As
4 2 1 1
Cartesian
0.000 -1.895 5.571 Cs
3.446 -2.028 2.997 Cs
3.446 2.028 2.997 Cs
0.000 1.895 5.571 Cs
4.984 0.000 8.285 Ag
1.908 0.000 8.285 Ag
0.000 0.000 1.975 Bi
3.446 0.000 6.232 As

5.
AgBiAsF | the Open Quantum Materials Database | PBE | relaxed; space group = Pbam; energy = -3.929 eV per atom
1.0
9.248 0.000 0.000
0.000 19.337 0.000
0.000 0.000 3.968
Ag As F Bi
8 8 8 8
Cartesian
6.125 12.419 0.000 Ag
8.473 10.763 0.000 Ag
3.123 6.918 0.000 Ag
3.849 18.242 0.000 Ag
1.501 16.587 0.000 Ag
7.747 2.750 0.000 Ag
5.399 1.095 0.000 Ag
0.775 8.573 0.000 Ag
1.296 19.143 0.000 As
2.101 14.116 0.000 As
7.147 5.221 0.000 As
6.725 14.889 0.000 As
2.523 4.448 0.000 As
3.328 9.475 0.000 As
7.952 0.193 0.000 As
5.920 9.862 0.000 As
4.191 12.126 1.984 F
8.815 16.879 1.984 F
8.707 12.181 1.984 F
4.083 16.824 1.984 F
0.541 7.156 1.984 F
5.165 2.512 1.984 F
5.057 7.211 1.984 F
0.433 2.457 1.984 F
0.619 4.844 1.984 Bi
6.752 17.998 1.984 Bi
5.243 4.824 1.984 Bi
4.005 14.513 1.984 Bi
8.629 14.493 1.984 Bi
7.120 8.330 1.984 Bi
2.128 11.007 1.984 Bi
2.496 1.338 1.984 Bi

6.
AgBiAsF | the Open Quantum Materials Database | PBE | relaxed; space group = R-3m; energy = -4.035 eV per atom
1.0
8.747 -0.250 6.688
10.618 -0.076 2.928
9.299 3.457 4.784
F Bi As Ag
2 2 2 2
Cartesian
19.863 2.170 9.979 F
8.801 0.961 4.421 F
11.158 1.219 5.606 Bi
17.506 1.912 8.795 Bi
25.672 2.804 12.897 As
2.992 0.327 1.503 As
5.460 0.597 2.743 Ag
23.204 2.535 11.657 Ag

7.
AgBiAsF | the Open Quantum Materials Database | PBE | relaxed; space group = Cmme; energy = -3.606 eV per atom
1.0
0.587 1.796 4.139
-1.171 -3.975 1.879
7.266 -2.181 -0.084
F Ag Bi As
2 2 2 2
Cartesian
3.487 -1.635 1.463 F
3.195 -2.724 4.471 F
4.883 -1.068 3.519 Ag
1.799 -3.291 2.415 Ag
-0.438 -1.634 4.513 Bi
-0.146 -0.545 1.504 Bi
4.718 -4.167 2.381 As
1.964 -0.192 3.553 As

8.
AgBiAsF | the Open Quantum Materials Database | PBE | relaxed; space group = R-3m; energy = -3.709 eV per atom
1.0
2.259 1.304 9.580
-2.259 1.304 9.580
0.000 -2.609 9.580
Ag Bi As F
2 2 2 2
Cartesian
0.000 0.000 10.973 Ag
0.000 0.000 17.767 Ag
0.000 0.000 5.981 Bi
0.000 0.000 22.759 Bi
0.000 0.000 26.188 As
0.000 0.000 2.552 As
0.000 0.000 20.104 F
0.000 0.000 8.636 F

9.
AgBiAsF | the Open Quantum Materials Database | PBE | relaxed; space group = P2_12_12_1; energy = -3.939 eV per atom
1.0
-2.314 -4.413 4.217
3.466 -5.002 -3.332
5.901 1.138 4.429
Ag Bi F As
4 4 4 4
Cartesian
4.961 -2.833 2.422 Ag
2.184 -3.442 -0.014 Ag
0.295 -3.062 4.673 Ag
6.663 -7.215 3.549 Ag
1.312 -5.284 2.467 Bi
4.312 -5.251 4.753 Bi
4.334 -5.791 -0.851 Bi
4.146 -0.227 4.261 Bi
5.650 -4.165 0.193 F
-0.055 -2.409 1.051 F
3.628 -5.672 2.558 F
4.881 -4.306 6.828 F
3.300 -1.414 1.083 As
2.832 -2.811 4.416 As
1.215 -8.028 1.620 As
6.757 -4.299 3.511 As

10.
AgBiAsF | the Open Quantum Materials Database | PBE | relaxed; space group = Pbam; energy = -3.971 eV per atom
1.0
8.501 0.000 0.000
0.000 17.211 0.000
0.000 0.000 4.736
Ag Bi F As
8 8 8 8
Cartesian
0.408 10.201 0.000 Ag
7.611 14.912 0.000 Ag
3.843 1.596 0.000 Ag
3.360 10.903 0.000 Ag
5.141 6.307 0.000 Ag
4.658 15.614 0.000 Ag
8.094 7.009 0.000 Ag
0.890 2.298 0.000 Ag
1.931 13.136 2.368 Bi
2.320 4.530 2.368 Bi
6.274 8.907 2.368 Bi
2.023 16.909 2.368 Bi
2.227 8.304 2.368 Bi
6.478 0.302 2.368 Bi
6.181 12.680 2.368 Bi
6.570 4.075 2.368 Bi
6.626 0.500 0.000 F
1.875 16.710 0.000 F
6.126 9.105 0.000 F
1.887 13.262 0.000 F
6.614 3.949 0.000 F
6.137 12.554 0.000 F
2.364 4.656 0.000 F
2.375 8.105 0.000 F
8.454 10.816 2.368 As
0.047 6.395 2.368 As
4.203 15.000 2.368 As
4.298 2.211 2.368 As
4.397 6.462 2.368 As
4.104 10.748 2.368 As
8.355 15.068 2.368 As
0.146 2.143 2.368 As

11.
AgBiAsF | the Open Quantum Materials Database | PBE | relaxed; space group = P2_12_12_1; energy = -3.900 eV per atom
1.0
-1.915 0.537 5.831
-5.048 -4.674 -1.227
4.716 -5.637 2.068
As F Bi Ag
4 4 4 4
Cartesian
1.919 -3.755 4.836 As
-1.207 -9.005 1.039 As
-2.208 -3.005 2.201 As
-2.998 -3.782 5.268 As
0.982 -2.019 1.332 F
-0.335 -6.231 2.895 F
-0.026 -6.228 6.251 F
-5.114 -5.069 2.866 F
0.764 -4.285 1.586 Bi
-2.539 -0.699 4.799 Bi
-0.249 -8.420 4.889 Bi
-2.470 -6.142 2.069 Bi
2.767 -6.136 3.889 Ag
-0.554 -3.614 4.245 Ag
-3.587 -3.471 -0.019 Ag
-3.120 -6.325 5.228 Ag

12.
AgBiAsF | the Open Quantum Materials Database | PBE | relaxed; space group = P4/nmm; energy = -3.888 eV per atom
1.0
-2.453 1.054 2.603
-1.208 -3.516 0.286
7.494 -1.937 7.845
F Ag As Bi
2 2 2 2
Cartesian
0.000 0.000 0.000 F
-1.830 -1.231 1.445 F
4.040 -0.834 6.814 Ag
1.624 -2.334 2.475 Ag
2.195 -0.357 4.883 As
3.469 -2.811 4.407 As
-0.035 0.219 2.548 Bi
5.699 -3.387 6.741 Bi

13.
AgBiAsF | the Open Quantum Materials Database | PBE | relaxed; space group = P4/nmm; energy = -4.006 eV per atom
1.0
-1.561 3.613 0.474
-1.387 -1.065 3.558
8.222 3.013 4.107
As Ag F Bi
2 2 2 2
Cartesian
4.337 3.403 4.918 As
2.412 0.884 1.205 As
3.331 3.313 2.290 Ag
3.418 0.974 3.832 Ag
-0.780 1.807 0.237 F
-0.693 -0.533 1.779 F
6.809 2.495 3.401 Bi
-0.061 1.792 2.722 Bi

14.
AgBiAsF | the Open Quantum Materials Database | PBE | relaxed; space group = Cm; energy = -3.907 eV per atom
1.0
8.525 -1.976 0.000
8.525 1.976 0.000
-1.308 0.000 5.308
F Ag Bi As
2 2 2 2
Cartesian
8.580 0.000 4.467 F
7.158 0.000 0.833 F
0.009 0.000 0.000 Ag
16.393 0.000 2.651 Ag
10.755 0.000 3.860 Bi
4.987 0.000 1.452 Bi
13.863 0.000 3.338 As
1.878 0.000 1.976 As

15.
LaGdAg2Bi2As2 | the Open Quantum Materials Database | PBE | relaxed; space group = P4mm; energy = -4.735 eV per atom
1.0
-2.370 -0.187 3.622
-3.565 -0.678 -2.367
1.631 -10.420 0.529
La Bi As Ag Gd
1 2 2 2 1
Cartesian
-2.568 -2.985 0.757 La
-0.954 -5.633 -0.915 Bi
-0.357 -5.387 2.080 Bi
-1.624 -9.019 1.063 As
0.273 -1.747 0.089 As
-0.161 -10.703 -0.658 Ag
0.437 -10.458 2.337 Ag
1.236 -7.899 0.401 Gd

16.
NdGdAg2Bi2As2 | the Open Quantum Materials Database | PBE | relaxed; space group = P4mm; energy = -4.674 eV per atom
1.0
4.319 0.000 0.000
0.000 4.319 0.000
0.000 0.000 10.460
As Ag Nd Bi Gd
2 2 1 2 1
Cartesian
0.000 0.000 1.797 As
2.160 2.160 8.610 As
0.000 2.160 10.429 Ag
2.160 0.000 10.429 Ag
2.160 2.160 2.566 Nd
0.000 2.160 5.276 Bi
2.160 0.000 5.276 Bi
0.000 0.000 7.919 Gd

17.
Mg2Ag2BiAs | the Open Quantum Materials Database | PBE | relaxed; space group = Pm; energy = -3.068 eV per atom
1.0
-9.141 -2.651 -5.921
2.654 -2.124 -3.145
2.349 -8.148 7.484
Bi Ag Mg As
4 8 8 4
Cartesian
0.067 -8.717 5.943 Bi
-1.193 -5.195 -0.907 Bi
-4.105 -3.837 -4.281 Bi
1.624 -6.404 2.286 Bi
-0.750 -6.737 3.917 Ag
1.252 -4.135 0.439 Ag
-6.419 -4.215 -2.569 Ag
-3.468 -5.625 0.873 Ag
-5.128 -8.547 -1.963 Ag
-6.684 -10.590 1.513 Ag
-1.754 -3.111 -2.788 Ag
-2.384 -9.923 1.281 Ag
-2.915 -7.960 -0.492 Mg
-6.843 -2.023 -4.406 Mg
-7.397 -8.677 -0.380 Mg
-4.070 -3.581 -1.015 Mg
-1.000 -4.445 2.159 Mg
-5.659 -6.563 -3.751 Mg
-0.133 -9.207 2.696 Mg
0.647 -2.170 -1.398 Mg
-4.570 -10.477 -0.190 As
-8.570 -4.505 -4.187 As
-5.726 -6.140 -0.684 As
-2.946 -7.596 2.645 As

18.
Na4Ag2BiAs | the Open Quantum Materials Database | PBE | relaxed; space group = Amm2; energy = -2.783 eV per atom
1.0
5.713 0.000 0.000
0.000 4.543 3.852
0.000 -4.543 3.852
Ag Na Bi As
2 4 1 1
Cartesian
4.277 0.000 7.574 Ag
1.437 0.000 7.574 Ag
0.000 -1.575 5.080 Na
2.857 -1.682 2.752 Na
2.857 1.682 2.752 Na
0.000 1.575 5.080 Na
0.000 0.000 2.279 Bi
2.857 0.000 5.425 As

19.
AgBiAsO | the Open Quantum Materials Database | PBE | relaxed; space group = Pmc2_1; energy = -4.249 eV per atom
1.0
-2.537 3.115 0.260
-0.938 -0.215 -6.573
-5.299 -4.391 0.900
O Ag As Bi
2 2 2 2
Cartesian
-6.008 -2.293 0.008 O
-4.039 -0.253 -5.205 O
-5.542 -4.429 -1.013 Ag
-3.286 -2.324 -4.220 Ag
-2.207 -1.631 -1.996 As
-5.134 -3.890 -3.489 As
-2.262 1.218 -5.486 Bi
-4.237 -0.823 -0.314 Bi

20.
AgBiAsO | the Open Quantum Materials Database | PBE | relaxed; space group = P4/nmm; energy = -4.477 eV per atom
1.0
-0.080 0.867 -3.886
-3.970 0.282 0.144
0.737 9.333 2.067
O Ag Bi As
2 2 2 2
Cartesian
-2.025 0.574 -1.871 O
0.000 0.000 0.000 O
0.369 4.667 1.034 Ag
-1.656 5.241 -0.837 Ag
-1.888 1.371 0.345 Bi
0.600 8.536 -0.148 Bi
-1.475 6.590 1.501 As
0.188 3.317 -1.304 As

21.
AgBiAsO | the Open Quantum Materials Database | PBE | relaxed; space group = P4/nmm; energy = -3.841 eV per atom
1.0
-0.739 -4.562 -0.082
1.365 -0.142 -4.414
7.719 -1.295 2.429
As O Bi Ag
2 2 2 2
Cartesian
5.749 -2.114 0.636 As
2.596 -3.885 -2.703 As
-0.213 -3.457 -1.165 O
0.839 -1.247 -3.331 O
4.699 -1.894 -2.116 Bi
3.646 -4.104 0.050 Bi
7.866 -4.768 -1.044 Ag
0.479 -1.230 -1.022 Ag